Compound: ReTe4Mo2
Source: Alexandria
Functional: PBE
Structure: optimized geometry

a = 7.0693 Å, b = 7.1839 Å, c = 7.1909 Å
α = 93.49°, β = 90.82°, γ = 94.38°
Fractional coordinates of all 14 atoms:
Re 0.0000 0.0000 0.0000
Re 0.3021 0.8760 0.8307
Te 0.0059 0.3322 0.2066
Te 0.1417 0.1885 0.7010
Te 0.3537 0.7241 0.4606
Te 0.4884 0.5836 0.9503
Te 0.5382 0.2623 0.3577
Te 0.6420 0.0851 0.8351
Te 0.8561 0.8347 0.3170
Te 0.9599 0.6665 0.7960
Mo 0.1591 0.7005 0.1244
Mo 0.1971 0.0426 0.3311
Mo 0.3381 0.2144 0.0305
Mo 0.4977 0.9174 0.1602

Its density of states at the Fermi level is 6.5 states/eV per cell. The calculation puts the mass density at 8.12 g/cm3. As for the symmetry: P1. The value obtained for the uncorrected formation energy is -0.23 eV per atom. The calculation puts the total energy at -6.898 eV/atom.